1.
The following is a PBEsol calculation of an optimized crystal structure of LaZrNO2, from the Alexandria database.

Calculated values
The value obtained for the total magnetization is 0.0 μB/cell. Its density of states at the Fermi level is 0.00 states/eV/atom. The calculation puts the total DFT energy (no corrections) at -9.538 eV/atom. The calculation puts the volume at 13.8 Å³ per atom. The energy relative to the elements, uncorrected is -2.85 eV/atom.

a = 5.704 Å, b = 5.733 Å, c = 8.438 Å
α = 90.00°, β = 90.00°, γ = 90.00°
Fractional coordinates of all 20 atoms:
1 Zr 0.500 0.000 0.500
2 Zr 0.000 0.500 0.000
3 Zr 0.500 0.000 0.000
4 Zr 0.000 0.500 0.500
5 O 0.820 0.820 0.467
6 O 0.680 0.320 0.033
7 O 0.820 0.820 0.033
8 O 0.680 0.320 0.467
9 O 0.320 0.680 0.967
10 O 0.180 0.180 0.533
11 O 0.320 0.680 0.533
12 O 0.180 0.180 0.967
13 N 0.926 0.527 0.750
14 N 0.426 0.973 0.250
15 N 0.574 0.027 0.750
16 N 0.074 0.473 0.250
17 La 0.989 0.968 0.750
18 La 0.011 0.032 0.250
19 La 0.511 0.468 0.750
20 La 0.489 0.532 0.250

2.
The following is a PBEsol calculation of an optimized crystal structure of GdAsO4, from the Alexandria database.

Calculated values
The value obtained for the total magnetization is 27.9 μB/cell. As for the offset from the most stable computed form: 0.0389 eV per atom. Its density of states at the Fermi level is 0.00 states/eV/atom. The calculation puts the total DFT energy (no corrections) at -9.081 eV/atom. The calculation puts the volume at 12.6 Å³ per atom. The energy relative to the elements, uncorrected is -2.32 eV/atom.

a = 6.645 Å, b = 6.774 Å, c = 6.993 Å
α = 90.00°, β = 90.00°, γ = 105.38°
Fractional coordinates of all 24 atoms:
1 Gd 0.089 0.279 0.353
2 Gd 0.589 0.779 0.147
3 Gd 0.411 0.221 0.853
4 Gd 0.911 0.721 0.647
5 O 0.506 0.398 0.150
6 O 0.581 0.743 0.492
7 O 0.661 0.018 0.895
8 O 0.725 0.109 0.289
9 O 0.994 0.102 0.650
10 O 0.081 0.243 0.008
11 O 0.339 0.982 0.105
12 O 0.161 0.518 0.605
13 O 0.275 0.891 0.711
14 O 0.839 0.482 0.395
15 O 0.775 0.391 0.789
16 O 0.006 0.898 0.350
17 O 0.494 0.602 0.850
18 O 0.419 0.257 0.508
19 O 0.225 0.609 0.211
20 O 0.919 0.757 0.992
21 As 0.388 0.698 0.661
22 As 0.112 0.802 0.161
23 As 0.888 0.198 0.839
24 As 0.612 0.302 0.339